[1]
DFT (PBE-GGA) results for Sr2MoSe after structural relaxation.

Results
Formation energy from raw total energies, kJ per mole of atoms: 24.88
Space group: No. 122

Structure (extended XYZ):
```
8
Lattice="-1.739 -4.595 6.812 7.249 -4.137 -0.940 4.618 -1.628 5.258" Properties=species:S:1:pos:R:3 pbc="T T T"
Se 2.755 -4.366 2.936
Se 7.311 -5.065 3.627
Sr 5.738 -4.614 6.119
Sr 1.024 -3.664 5.259
Sr 5.418 -3.699 1.774
Sr 8.077 -8.742 9.109
Mo 0.000 0.000 0.000
Mo 2.817 -5.294 7.503
```

---

[2]
DFT (PBE-GGA) results for CsPaCu2S4 after structural relaxation.

Results
Formation energy from raw total energies, kJ per mole of atoms: -83.85
Space group: No. 23

Structure (extended XYZ):
```
8
Lattice="-5.257 -0.150 3.536 -2.389 -6.341 1.858 0.872 -0.473 6.956" Properties=species:S:1:pos:R:3 pbc="T T T"
Cs 0.000 0.000 0.000
S -2.234 -1.391 5.276
S -2.039 -5.502 5.392
S -5.786 -3.353 5.316
S -3.490 -3.682 8.717
Cu -5.510 -4.458 8.657
Cu -1.264 -2.506 3.693
Pa -3.387 -3.482 6.175
```

---

[3]
DFT (PBE-GGA) results for KCuPb2 after structural relaxation.

Results
Formation energy, eV/f.u.: 0.199
Space group: No. 65

Structure (extended XYZ):
```
4
Lattice="-1.096 -3.380 0.771 -0.544 -0.010 -3.595 8.097 -2.904 -1.217" Properties=species:S:1:pos:R:3 pbc="T T T"
K 5.253 -3.873 -2.325
Pb 0.537 -0.193 -0.081
Pb 3.512 -1.260 -0.528
Cu 1.204 -2.421 -1.716
```

---

[4]
DFT (PBE-GGA) results for Nd6ZnP2Cl3 after structural relaxation.

Results
Formation energy from raw total energies, kJ per mole of atoms: -128.80
Space group: No. 12

Structure (extended XYZ):
```
12
Lattice="4.101 0.000 0.000 0.000 8.557 0.229 -2.050 -2.549 8.862" Properties=species:S:1:pos:R:3 pbc="T T T"
Nd 0.000 5.970 6.186
Nd 2.050 0.038 2.904
Nd 2.050 3.935 8.923
Nd 2.050 3.918 3.213
Nd 0.000 2.090 5.877
Nd 0.000 2.073 0.167
Cl 0.000 6.248 3.167
Cl 2.050 -0.240 5.923
Cl 2.050 4.279 0.114
P 2.050 4.021 6.046
P 0.000 1.987 3.044
Zn 2.050 0.000 0.000
```